Compound: In2CoP
Source: the Alexandria database
Functional: PBE-GGA
Structure: optimized geometry

Cell: 5.276 5.276 5.276 Å, 135.29 135.29 65.08°
Positions (direct):
Co1 0.750 0.250 0.500
In1 0.000 0.000 0.000
In2 0.250 0.750 0.500
P1 0.500 0.500 0.000

Summary:
Energy relative to the elements = 0.4432 eV/atom
Space group = I-4m2, No. 119
E_tot = -4.055 eV per atom